Entry 1:
HgOsSe2 | GGA-PBEsol | optimized geometry

Output
SG: R-3m, No. 166

Cell and atoms, written as extended XYZ:
```
4
Lattice="1.8095 1.0447 7.6366 -1.8095 1.0447 7.6366 0.0000 -2.0894 7.6366" Properties=species:S:1:pos:R:3 pbc="T T T"
Hg 0.0000 0.0000 0.0000
Os 0.0000 0.0000 11.4549
Se 0.0000 0.0000 5.1649
Se 0.0000 0.0000 17.7449
```

Entry 2:
HgOsSe2 | GGA-PBEsol | optimized geometry

Output
SG: Cm, No. 8

Cell and atoms, written as extended XYZ:
```
4
Lattice="5.2653 -1.5401 0.0000 5.2653 1.5401 0.0000 -1.8053 0.0000 5.0082" Properties=species:S:1:pos:R:3 pbc="T T T"
Hg 0.0000 0.0000 0.0000
Os 0.9647 0.0000 4.9890
Se 5.8107 0.0000 3.1121
Se 8.0549 0.0000 1.8987
```

Entry 3:
HgOsSe2 | GGA-PBEsol | optimized geometry

Output
SG: P2/m, No. 10

Cell and atoms, written as extended XYZ:
```
4
Lattice="5.2044 0.0000 0.0000 0.0000 3.1933 0.0000 -2.1531 0.0000 5.0168" Properties=species:S:1:pos:R:3 pbc="T T T"
Hg 0.0000 0.0000 0.0000
Os -1.0766 0.0000 2.5084
Se 0.5734 1.5967 3.3557
Se 2.4779 1.5967 1.6611
```

| no. | formation energy (no corrections) (eV/atom) |
| --- | --- |
| 1 | 0.0996 |
| 2 | 0.2355 |
| 3 | 0.1676 |